Entry 1:
The following is a DFT calculation (PBE) of a geometry-optimized Sc2AsPb structure.

Lattice parameters (Å, degrees): 3.387 3.387 7.769 90.00 90.00 90.00
Last column: magnetic moment on the atom in μB.
Fractional coordinates of all 4 atoms:
Sc  0.000  0.000  0.048  0.23
Pb  0.500  0.500  0.750  0.00
Sc  0.000  0.000  0.452  0.23
As  0.500  0.500  0.250  -0.02

Calculated values
* symmetry: P4/mmm (123)
* N(E_F): 3.57 states/eV/cell
* DFT formation energy: -0.64 eV per atom
* calculated total energy: -5.8977 eV per atom



Entry 2:
The following is a DFT calculation (PBE) of a geometry-optimized P2Rh3 structure.

Lattice parameters (Å, degrees): 3.360 3.360 6.275 90.00 90.00 90.00
Fractional coordinates of all 5 atoms:
Rh  0.500  0.000  0.632
Rh  0.000  0.000  0.000
Rh  0.000  0.500  0.368
P  0.000  0.500  0.745
P  0.500  0.000  0.255

Calculated values
* symmetry: P-4m2 (115)
* N(E_F): 2.42 states/eV/cell
* DFT formation energy: -0.67 eV per atom
* calculated total energy: -7.2496 eV per atom



Entry 3:
The following is a DFT calculation (PBE) of a geometry-optimized CaHoSc2Se4 structure.

Lattice parameters (Å, degrees): 3.974 6.918 6.929 70.86 90.00 90.00
Fractional coordinates of all 8 atoms:
Sc  0.000  0.000  0.000
Sc  0.500  0.000  0.500
Se  0.500  0.235  0.757
Ho  0.500  0.500  0.000
Se  0.500  0.765  0.243
Se  0.000  0.764  0.747
Se  0.000  0.236  0.253
Ca  0.000  0.500  0.500

Calculated values
* symmetry: P2/m (10)
* N(E_F): 3.89 states/eV/cell
* formation energy (no corrections): -1.7137 eV/atom
* calculated total energy: -5.8612 eV per atom



Entry 4:
The following is a DFT calculation (PBE) of a geometry-optimized Zr2ScV structure.

Lattice parameters (Å, degrees): 7.658 7.658 6.170 51.64 51.64 90.00
Last column: magnetic moment on the atom in μB.
Fractional coordinates of all 8 atoms:
Zr  0.654  0.125  0.250  -0.05
Sc  0.250  0.750  0.500  -0.15
V  0.000  0.000  0.000  1.70
Zr  0.875  0.904  0.750  -0.05
V  0.750  0.250  0.500  1.70
Zr  0.375  0.346  0.750  -0.05
Zr  0.096  0.625  0.250  -0.05
Sc  0.500  0.500  0.000  -0.15

Calculated values
* symmetry: I-42d (122)
* N(E_F): 11.69 states/eV/cell
* DFT formation energy: 0.52 eV per atom
* calculated total energy: -7.6133 eV per atom



Entry 5:
The following is a DFT calculation (PBE) of a geometry-optimized LaTaB2 structure.

Lattice parameters (Å, degrees): 5.385 5.385 6.906 67.05 67.05 90.00
Fractional coordinates of all 8 atoms:
La  0.500  0.500  0.000
B  0.375  0.292  0.750
B  0.708  0.125  0.250
B  0.042  0.625  0.250
B  0.875  0.958  0.750
La  0.250  0.750  0.500
Ta  0.000  0.000  0.000
Ta  0.750  0.250  0.500

Calculated values
* symmetry: I-42d (122)
* N(E_F): 7.79 states/eV/cell
* DFT formation energy: 0.53 eV per atom
* calculated total energy: -7.0025 eV per atom



Entry 6:
The following is a DFT calculation (PBE) of a geometry-optimized Li3Nd3TaS8 structure.

Lattice parameters (Å, degrees): 7.906 7.905 7.704 120.89 90.00 120.00
Fractional coordinates of all 15 atoms:
Nd  0.000  0.500  0.500
Nd  0.500  0.000  0.500
Li  0.000  0.000  0.000
S  0.784  0.012  0.740
S  0.755  0.510  0.765
Nd  0.500  0.500  0.500
S  0.228  0.012  0.740
S  0.216  0.988  0.260
Li  0.500  0.500  0.000
S  0.245  0.490  0.235
Ta  0.000  0.000  0.500
S  0.228  0.456  0.740
Li  0.000  0.500  0.000
S  0.772  0.544  0.260
S  0.772  0.988  0.260

Calculated values
* symmetry: R-3m (166)
* N(E_F): 4.63 states/eV/cell
* formation energy (no corrections): -1.5820 eV/atom
* calculated total energy: -5.9099 eV per atom



Entry 7:
The following is a DFT calculation (PBE) of a geometry-optimized DyY2SbN4 structure.

Lattice parameters (Å, degrees): 3.486 6.053 6.051 109.31 90.00 90.00
Fractional coordinates of all 8 atoms:
Y  0.500  0.000  0.500
N  0.000  0.256  0.745
Sb  0.000  0.000  0.000
N  0.500  0.262  0.261
Dy  0.500  0.500  0.000
Y  0.000  0.500  0.500
N  0.000  0.744  0.255
N  0.500  0.738  0.739

Calculated values
* symmetry: P2/m (10)
* N(E_F): 0.40 states/eV/cell
* formation energy (no corrections): -1.0544 eV/atom
* calculated total energy: -7.9236 eV per atom



Entry 8:
The following is a DFT calculation (PBE) of a geometry-optimized Ca3NbAg structure.

Lattice parameters (Å, degrees): 5.626 5.626 5.626 90.00 90.00 90.00
Last column: magnetic moment on the atom in μB.
Fractional coordinates of all 5 atoms:
Ca  0.000  0.000  0.500  0.03
Ca  0.000  0.500  0.000  0.01
Nb  0.500  0.500  0.500  2.80
Ag  0.000  0.000  0.000  0.00
Ca  0.500  0.000  0.000  0.01

Calculated values
* symmetry: Pm-3m (221)
* N(E_F): 5.44 states/eV/cell
* DFT formation energy: 0.69 eV per atom
* calculated total energy: -3.0964 eV per atom



Entry 9:
The following is a DFT calculation (PBE) of a geometry-optimized Tm6ZrCd5 structure.

Lattice parameters (Å, degrees): 5.242 7.396 9.123 113.91 106.70 90.00
Last column: magnetic moment on the atom in μB.
Fractional coordinates of all 12 atoms:
Tm  0.833  0.082  0.665  0.16
Cd  0.000  0.500  0.000  0.00
Tm  0.833  0.584  0.665  0.16
Tm  0.167  0.416  0.335  0.16
Tm  0.167  0.918  0.335  0.16
Cd  0.333  0.333  0.667  0.02
Tm  0.500  0.253  0.000  0.28
Tm  0.500  0.747  0.000  0.28
Cd  0.659  0.159  0.317  0.00
Cd  0.667  0.667  0.333  0.02
Cd  0.341  0.841  0.683  0.00
Zr  0.000  0.000  0.000  1.07

Calculated values
* symmetry: Immm (71)
* N(E_F): 11.24 states/eV/cell
* DFT formation energy: -0.21 eV per atom
* calculated total energy: -3.5380 eV per atom



Entry 10:
The following is a DFT calculation (PBE) of a geometry-optimized Li3Nd2HoSe6 structure.

Lattice parameters (Å, degrees): 7.203 7.203 6.947 99.91 99.91 120.03
Fractional coordinates of all 12 atoms:
Se  0.761  0.761  0.256
Li  0.837  0.163  0.500
Se  0.239  0.239  0.744
Ho  0.000  0.000  0.000
Li  0.163  0.837  0.500
Se  0.086  0.410  0.258
Li  0.500  0.500  0.500
Se  0.590  0.914  0.742
Nd  0.667  0.333  0.000
Se  0.410  0.086  0.258
Nd  0.333  0.667  0.000
Se  0.914  0.590  0.742

Calculated values
* symmetry: C2/m (12)
* N(E_F): 0.00 states/eV/cell
* formation energy (no corrections): -1.6710 eV/atom
* calculated total energy: -5.0679 eV per atom



Entry 11:
The following is a DFT calculation (PBE) of a geometry-optimized Y6Co2Ag structure.

Lattice parameters (Å, degrees): 8.345 8.345 8.345 107.27 109.09 112.10
Fractional coordinates of all 18 atoms:
Y  0.535  0.716  0.819
Y  0.689  0.014  0.325
Y  0.898  0.716  0.181
Y  0.311  0.636  0.325
Co  0.500  0.613  0.113
Y  0.200  0.768  0.968
Ag  0.000  0.000  0.000
Co  0.346  0.000  0.346
Y  0.465  0.284  0.181
Co  0.654  0.000  0.654
Y  0.689  0.364  0.675
Y  0.311  0.986  0.675
Y  0.800  0.232  0.032
Y  0.800  0.768  0.568
Y  0.102  0.284  0.819
Ag  0.000  0.500  0.500
Y  0.200  0.232  0.432
Co  0.500  0.387  0.887

Calculated values
* symmetry: Immm (71)
* N(E_F): 21.54 states/eV/cell
* DFT formation energy: -0.19 eV per atom
* calculated total energy: -6.3972 eV per atom



Entry 12:
The following is a DFT calculation (PBE) of a geometry-optimized ThUP2 structure.

Lattice parameters (Å, degrees): 4.021 4.021 7.062 73.46 73.46 60.00
Last column: magnetic moment on the atom in μB.
Fractional coordinates of all 4 atoms:
P  0.755  0.755  0.734  -0.04
U  0.500  0.500  0.500  1.92
Th  0.000  0.000  0.000  0.00
P  0.245  0.245  0.266  -0.04

Calculated values
* symmetry: R-3m (166)
* N(E_F): 5.34 states/eV/cell
* DFT formation energy: -1.25 eV per atom
* calculated total energy: -8.6296 eV per atom



> The lowest N(E_F) belongs to which entry?

Li3Nd2HoSe6



> Number 10 is which compound?

Li3Nd2HoSe6